(1)
Compound: P2C
Source: Alexandria
Functional: PBE
Structure: optimized geometry

The excess energy over the best structure of this formula in the dataset is 1.56 eV/f.u. As for the size of the total moment: 0.0 μB/f.u. For the formation enthalpy at 0 K, the calculation gives 0.951 eV per atom. Its crystal system is monoclinic.

The structure belongs to space group C2/m (No. 12); the cell edges are 6.624, 2.786 and 4.401 Å and the angles 90.00°, 113.68° and 90.00°. Symmetry generates all atoms from P at (0.101, 0.000, 0.323) and C at (0.000, 0.500, 0.000).


(2)
Compound: Ta2AsOs
Source: Alexandria
Functional: PBE
Structure: optimized geometry

As for the size of the total moment: 0.0 μB/f.u. For the formation enthalpy at 0 K, the calculation gives -0.052 eV per atom. Its crystal system is orthorhombic.

The structure belongs to space group Immm (No. 71); the cell edges are 3.295, 4.662 and 8.533 Å and the angles 90.00°, 90.00° and 90.00°. Symmetry generates all atoms from Ta at (0.000, 0.000, 0.245), As at (0.000, 0.500, 0.500) and Os at (0.000, 0.500, 0.000).


(3)
Compound: SrGdIr
Source: Alexandria
Functional: PBE
Structure: optimized geometry

The excess energy over the best structure of this formula in the dataset is 0.08 eV/f.u. As for the size of the total moment: 7.1 μB/f.u. For the formation enthalpy at 0 K, the calculation gives -0.344 eV per atom. Its crystal system is cubic.

The structure belongs to space group F-43m (No. 216); the cell edges are 7.019, 7.019 and 7.019 Å and the angles 90.00°, 90.00° and 90.00°. Symmetry generates all atoms from Sr at (0.000, 0.000, 0.000), Gd at (0.000, 0.000, 0.500) and Ir at (0.250, 0.250, 0.250).


(4)
Compound: TaIn2Pt
Source: Alexandria
Functional: PBE
Structure: optimized geometry

The excess energy over the best structure of this formula in the dataset is 0.39 eV/f.u. As for the size of the total moment: 0.0 μB/f.u. For the formation enthalpy at 0 K, the calculation gives -0.038 eV per atom. Its crystal system is tetragonal.

The structure belongs to space group P4/mmm (No. 123); the cell edges are 4.284, 4.284 and 4.109 Å and the angles 90.00°, 90.00° and 90.00°. Symmetry generates all atoms from Ta at (0.000, 0.000, 0.000), In at (0.000, 0.500, 0.500) and Pt at (0.500, 0.500, 0.000).